1.
## Dy6InBi2 (PBE)

Data for crystalline Dy6InBi2 at its relaxed geometry.

a b c (Å): 6.343 8.397 10.336
angles (deg): 90.00 88.95 90.00
Positions (direct):
1 Dy 0.852 0.956 0.228
2 Dy 0.866 0.656 0.540
3 Dy 0.888 0.709 0.950
4 Dy 0.612 0.209 0.550
5 Dy 0.634 0.156 0.960
6 Dy 0.648 0.456 0.272
7 Dy 0.148 0.044 0.772
8 Dy 0.134 0.344 0.460
9 Dy 0.112 0.291 0.050
10 Dy 0.388 0.791 0.450
11 Dy 0.366 0.844 0.040
12 Dy 0.352 0.544 0.728
13 In 0.500 0.500 0.000
14 In 0.000 0.000 0.500
15 Bi 0.890 0.390 0.764
16 Bi 0.610 0.890 0.736
17 Bi 0.390 0.110 0.264
18 Bi 0.110 0.610 0.236

Calculated values
Energy relative to the elements ... -0.38 eV per atom
Space-group type ... P2_1/c (14)


2.
## YTm2ScBi4 (PBE)

Data for crystalline YTm2ScBi4 at its relaxed geometry.

a b c (Å): 4.409 7.632 7.634
angles (deg): 109.46 90.00 90.00
Positions (direct):
1 Y 0.000 0.000 0.000
2 Tm 0.500 0.000 0.500
3 Tm 0.000 0.500 0.500
4 Sc 0.500 0.500 0.000
5 Bi 0.500 0.256 0.249
6 Bi 0.500 0.744 0.751
7 Bi 0.000 0.259 0.756
8 Bi 0.000 0.741 0.244

Calculated values
Energy relative to the elements ... -0.77 eV per atom
Space-group type ... P2/m (10)


3.
## Rb12Cd2Au5 (PBE)

Data for crystalline Rb12Cd2Au5 at its relaxed geometry.

a b c (Å): 9.600 9.418 12.772
angles (deg): 86.45 90.00 120.64
Positions (direct):
1 Rb 0.045 0.090 0.212
2 Rb 0.995 0.454 0.852
3 Rb 0.459 0.454 0.852
4 Rb 0.873 0.270 0.487
5 Rb 0.397 0.270 0.487
6 Rb 0.522 0.044 0.768
7 Rb 0.478 0.956 0.232
8 Rb 0.127 0.730 0.513
9 Rb 0.603 0.730 0.513
10 Rb 0.005 0.546 0.148
11 Rb 0.541 0.546 0.148
12 Rb 0.955 0.910 0.788
13 Cd 0.282 0.000 0.000
14 Cd 0.718 0.000 0.000
15 Au 0.744 0.488 0.654
16 Au 0.627 0.255 0.015
17 Au 0.000 0.000 0.500
18 Au 0.373 0.745 0.985
19 Au 0.256 0.512 0.346

Calculated values
Energy relative to the elements ... -0.14 eV per atom
Space-group type ... C2/m (12)


4.
## LaMg2PbI (PBE)

Data for crystalline LaMg2PbI at its relaxed geometry.

a b c (Å): 5.462 5.462 6.024
angles (deg): 90.00 90.00 90.00
Positions (direct):
1 Pb 0.500 0.500 0.500
2 I 0.000 0.000 0.000
3 Mg 0.000 0.500 0.000
4 Mg 0.500 0.000 0.000
5 La 0.000 0.000 0.500

Calculated values
ΔE_f (raw) ... 1.13 eV/f.u.
Space-group type ... P4/mmm (123)


5.
## CeMgCdIn (PBE)

Data for crystalline CeMgCdIn at its relaxed geometry.

a b c (Å): 5.222 5.222 5.222
angles (deg): 60.00 60.00 60.00
Last column: magnetic moment on the atom in μB.
Positions (direct):
1 Mg 0.000 0.000 0.000  0.00
2 Cd 0.750 0.750 0.750  0.01
3 Ce 0.500 0.500 0.500  0.79
4 In 0.250 0.250 0.250  0.01

Calculated values
Energy relative to the elements ... -0.28 eV per atom
Space-group type ... F-43m (216)


6.
## Cs2PuTiBr6 (PBE)

Data for crystalline Cs2PuTiBr6 at its relaxed geometry.

a b c (Å): 7.973 7.974 11.277
angles (deg): 90.00 90.00 90.00
Last column: magnetic moment on the atom in μB.
Positions (direct):
1 Cs 0.500 0.750 0.250  0.00
2 Cs 0.000 0.250 0.750  0.00
3 Cs 0.500 0.750 0.750  0.00
4 Cs 0.000 0.250 0.250  0.00
5 Pu 0.000 0.749 0.500  5.66
6 Pu 0.500 0.251 0.000  5.66
7 Ti 0.500 0.249 0.500  1.76
8 Ti 0.000 0.751 0.000  1.76
9 Br 0.500 0.250 0.260  -0.02
10 Br 0.500 0.250 0.740  -0.02
11 Br 0.000 0.750 0.240  -0.02
12 Br 0.000 0.750 0.760  -0.02
13 Br 0.260 0.010 0.500  -0.02
14 Br 0.740 0.010 0.500  -0.02
15 Br 0.260 0.489 0.500  -0.02
16 Br 0.740 0.489 0.500  -0.02
17 Br 0.760 0.511 0.000  -0.02
18 Br 0.240 0.511 0.000  -0.02
19 Br 0.240 0.990 0.000  -0.02
20 Br 0.760 0.990 0.000  -0.02

Calculated values
ΔE_f (raw) ... -14.52 eV/f.u.
Space-group type ... Pmmn (59)


7.
## MgMoRh2 (PBE)

Data for crystalline MgMoRh2 at its relaxed geometry.

a b c (Å): 2.852 3.616 5.894
angles (deg): 90.00 90.00 90.00
Positions (direct):
1 Mo 0.500 0.500 0.750
2 Rh 0.000 0.000 0.992
3 Rh 0.000 0.000 0.508
4 Mg 0.500 0.500 0.250

Calculated values
Energy relative to the elements ... -0.24 eV per atom
Space-group type ... Pmmm (47)


8.
## Sn2Sb2Pt7Rh (PBE)

Data for crystalline Sn2Sb2Pt7Rh at its relaxed geometry.

a b c (Å): 3.905 3.905 16.413
angles (deg): 83.18 83.18 90.00
Last column: magnetic moment on the atom in μB.
Positions (direct):
1 Sn 0.620 0.620 0.759  -0.01
2 Sn 0.380 0.380 0.241  -0.01
3 Sb 0.786 0.786 0.429  0.00
4 Sb 0.214 0.214 0.571  0.00
5 Pt 0.500 0.500 0.000  0.10
6 Pt 0.298 0.298 0.405  0.00
7 Pt 0.702 0.702 0.595  0.00
8 Pt 0.938 0.438 0.125  0.09
9 Pt 0.438 0.938 0.125  0.09
10 Pt 0.562 0.062 0.875  0.09
11 Pt 0.062 0.562 0.875  0.09
12 Rh 0.000 0.000 0.000  0.56

Calculated values
ΔE_f (raw) ... -3.45 eV/f.u.
Space-group type ... I4/mmm (139)


9.
## SmEr4ScS8 (PBE)

Data for crystalline SmEr4ScS8 at its relaxed geometry.

a b c (Å): 7.939 7.939 7.975
angles (deg): 60.15 60.15 60.00
Last column: magnetic moment on the atom in μB.
Positions (direct):
1 Sm 0.003 0.003 0.991  0.06
2 Er 0.625 0.625 0.124  0.02
3 Er 0.003 0.491 0.503  0.06
4 Er 0.491 0.003 0.503  0.06
5 Er 0.003 0.003 0.503  0.06
6 Sc 0.374 0.374 0.877  0.15
7 S 0.253 0.757 0.738  0.00
8 S 0.757 0.253 0.738  0.00
9 S 0.253 0.253 0.738  0.00
10 S 0.246 0.246 0.263  0.00
11 S 0.753 0.228 0.266  0.00
12 S 0.228 0.753 0.266  0.00
13 S 0.753 0.753 0.266  0.00
14 S 0.759 0.759 0.724  0.00

Calculated values
ΔE_f (raw) ... -26.78 eV/f.u.
Space-group type ... R3m (160)


10.
## La4MgTl5 (PBE)

Data for crystalline La4MgTl5 at its relaxed geometry.

a b c (Å): 3.740 3.740 21.227
angles (deg): 90.00 90.00 90.00
Positions (direct):
1 La 0.000 0.000 0.185
2 La 0.000 0.000 0.395
3 La 0.000 0.000 0.605
4 La 0.000 0.000 0.815
5 Mg 0.000 0.000 0.000
6 Tl 0.500 0.500 0.080
7 Tl 0.500 0.500 0.289
8 Tl 0.500 0.500 0.500
9 Tl 0.500 0.500 0.711
10 Tl 0.500 0.500 0.920

Calculated values
Energy relative to the elements ... -0.37 eV per atom
Space-group type ... P4/mmm (123)


11.
## Ac2DySe2O2 (PBE)

Data for crystalline Ac2DySe2O2 at its relaxed geometry.

a b c (Å): 4.434 4.434 8.678
angles (deg): 104.80 104.80 90.00
Positions (direct):
1 Ac 0.372 0.372 0.744
2 Ac 0.628 0.628 0.256
3 Dy 0.000 0.000 0.000
4 Se 0.177 0.177 0.353
5 Se 0.823 0.823 0.647
6 O 0.000 0.500 0.000
7 O 0.500 0.000 0.000

Calculated values
ΔE_f (raw) ... -17.61 eV/f.u.
Space-group type ... I4/mmm (139)